Here is a crystal of Li2Mg relaxed with PBEsol from the Alexandria database. Energies are from meta-GGA SCAN.

## Properties
The space group is Pnma, No. 62. The formation energy comes out at -0.034 eV per atom. The magnetization is 0.3 μB/cell.

abc: 5.993 4.446 8.934
angles: 90.00 90.00 90.00
Element x y z (fractional)
Li 0.109 0.250 0.246
Li 0.133 0.250 0.917
Li 0.367 0.750 0.417
Li 0.391 0.750 0.746
Li 0.609 0.250 0.254
Li 0.633 0.250 0.583
Li 0.867 0.750 0.083
Li 0.891 0.750 0.754
Mg 0.134 0.250 0.584
Mg 0.366 0.750 0.084
Mg 0.634 0.250 0.916
Mg 0.866 0.750 0.416